Crystalline TmInIrAu at its relaxed geometry, computed with GGA-PBE.

The structure in CIF format:
```
data_TmInIrAu
_space_group_name_H-M_alt 'F -4 3 m'
_space_group_IT_number 216
_space_group_name_Hall 'F -4 2 3'
_cell_length_a 6.787
_cell_length_b 6.787
_cell_length_c 6.787
_cell_angle_alpha 90.00
_cell_angle_beta 90.00
_cell_angle_gamma 90.00
loop_
_atom_site_label
_atom_site_fract_x
_atom_site_fract_y
_atom_site_fract_z
_atom_site_occupancy
Tm1 0.000 0.000 0.000 1
In1 0.000 0.000 0.500 1
Ir1 0.250 0.250 0.750 1
Au1 0.250 0.250 0.250 1
```

## Properties
V (Å³/atom): 19.54
Energy of formation (eV per atom): -0.53
N(E_F) (states/eV/f.u.): 2.9

Crystalline UInIrAu at its relaxed geometry, computed with GGA-PBE.

The structure in CIF format:
```
data_UInIrAu
_space_group_name_H-M_alt 'F -4 3 m'
_space_group_IT_number 216
_space_group_name_Hall 'F -4 2 3'
_cell_length_a 6.870
_cell_length_b 6.870
_cell_length_c 6.870
_cell_angle_alpha 90.00
_cell_angle_beta 90.00
_cell_angle_gamma 90.00
loop_
_atom_site_label
_atom_site_fract_x
_atom_site_fract_y
_atom_site_fract_z
_atom_site_occupancy
U1 0.000 0.000 0.000 1
In1 0.000 0.000 0.500 1
Ir1 0.250 0.250 0.750 1
Au1 0.250 0.250 0.250 1
```

## Properties
V (Å³/atom): 20.26
Energy of formation (eV per atom): -0.19
N(E_F) (states/eV/f.u.): 5.9

Crystalline VInIr2Au at its relaxed geometry, computed with GGA-PBE.

The structure in CIF format:
```
data_VInIr2Au
_space_group_name_H-M_alt 'P 4/m m m'
_space_group_IT_number 123
_space_group_name_Hall '-P 4 2'
_cell_length_a 4.850
_cell_length_b 4.850
_cell_length_c 4.913
_cell_angle_alpha 90.00
_cell_angle_beta 90.00
_cell_angle_gamma 90.00
loop_
_atom_site_label
_atom_site_fract_x
_atom_site_fract_y
_atom_site_fract_z
_atom_site_occupancy
V1 0.000 0.000 0.000 1
In1 0.000 0.000 0.500 1
Ir1 0.000 0.500 0.500 1
Au1 0.500 0.500 0.000 1
```

## Properties
V (Å³/atom): 23.11
Energy of formation (eV per atom): 1.87
N(E_F) (states/eV/f.u.): 9.3

Crystalline K3InAu3 at its relaxed geometry, computed with GGA-PBE.

The structure in CIF format:
```
data_K3InAu3
_space_group_name_H-M_alt 'C 1 2/m 1'
_space_group_IT_number 12
_space_group_name_Hall '-C 2y'
_cell_length_a 12.078
_cell_length_b 4.854
_cell_length_c 16.235
_cell_angle_alpha 90.00
_cell_angle_beta 110.92
_cell_angle_gamma 90.00
loop_
_atom_site_label
_atom_site_fract_x
_atom_site_fract_y
_atom_site_fract_z
_atom_site_occupancy
K1 0.025 0.000 0.272 1
K2 0.142 0.500 0.129 1
K3 0.178 0.000 0.575 1
In1 0.170 0.500 0.913 1
Au1 0.025 0.500 0.420 1
Au2 0.091 0.000 0.964 1
Au3 0.177 0.500 0.740 1
```

## Properties
V (Å³/atom): 31.75
Energy of formation (eV per atom): -0.31
N(E_F) (states/eV/f.u.): 2.1

Crystalline K2InAu4 at its relaxed geometry, computed with GGA-PBE.

The structure in CIF format:
```
data_K2InAu4
_space_group_name_H-M_alt 'I 4/m m m'
_space_group_IT_number 139
_space_group_name_Hall '-I 4 2'
_cell_length_a 5.301
_cell_length_b 5.301
_cell_length_c 17.110
_cell_angle_alpha 90.00
_cell_angle_beta 90.00
_cell_angle_gamma 90.00
loop_
_atom_site_label
_atom_site_fract_x
_atom_site_fract_y
_atom_site_fract_z
_atom_site_occupancy
K1 0.000 0.000 0.142 1
In1 0.000 0.000 0.500 1
Au1 0.000 0.000 0.338 1
Au2 0.000 0.500 0.000 1
```

## Properties
V (Å³/atom): 34.34
Energy of formation (eV per atom): -0.07
N(E_F) (states/eV/f.u.): 1.9

Crystalline K3In2Au2 at its relaxed geometry, computed with GGA-PBE.

The structure in CIF format:
```
data_K3In2Au2
_space_group_name_H-M_alt 'P b c m'
_space_group_IT_number 57
_space_group_name_Hall '-P 2c 2b'
_cell_length_a 6.928
_cell_length_b 8.770
_cell_length_c 15.296
_cell_angle_alpha 90.00
_cell_angle_beta 90.00
_cell_angle_gamma 90.00
loop_
_atom_site_label
_atom_site_fract_x
_atom_site_fract_y
_atom_site_fract_z
_atom_site_occupancy
K1 0.136 0.101 0.095 1
K2 0.353 0.724 0.750 1
In1 0.167 0.093 0.750 1
In2 0.404 0.750 0.000 1
Au1 0.368 0.028 0.597 1
```

## Properties
V (Å³/atom): 33.19
Energy of formation (eV per atom): -0.26
N(E_F) (states/eV/f.u.): 4.2

Crystalline K2In6Au3 at its relaxed geometry, computed with GGA-PBE.

The structure in CIF format:
```
data_K2In6Au3
_space_group_name_H-M_alt 'P -6 2 m'
_space_group_IT_number 189
_space_group_name_Hall 'P -6 -2'
_cell_length_a 8.5618
_cell_length_b 8.5618
_cell_length_c 4.8295
_cell_angle_alpha 90.00
_cell_angle_beta 90.00
_cell_angle_gamma 120.00
loop_
_atom_site_label
_atom_site_fract_x
_atom_site_fract_y
_atom_site_fract_z
_atom_site_occupancy
K1 0.3333 0.6667 0.0000 1
In1 0.0000 0.2036 0.0000 1
In2 0.0000 0.6940 0.5000 1
Au1 0.0000 0.3698 0.5000 1
```

## Properties
V (Å³/atom): 27.87
Energy of formation (eV per atom): -0.24
N(E_F) (states/eV/f.u.): 1.9

Crystalline K4InAu3 at its relaxed geometry, computed with GGA-PBE.

The structure in CIF format:
```
data_K4InAu3
_space_group_name_H-M_alt 'P m m 2'
_space_group_IT_number 25
_space_group_name_Hall 'P 2 -2'
_cell_length_a 4.743
_cell_length_b 4.819
_cell_length_c 12.488
_cell_angle_alpha 90.00
_cell_angle_beta 90.00
_cell_angle_gamma 90.00
loop_
_atom_site_label
_atom_site_fract_x
_atom_site_fract_y
_atom_site_fract_z
_atom_site_occupancy
K1 0.000 0.000 0.000 1
K2 0.000 0.500 0.466 1
K3 0.500 0.000 0.677 1
K4 0.500 0.500 0.203 1
In1 0.000 0.500 0.784 1
Au1 0.000 0.000 0.269 1
Au2 0.500 0.000 0.404 1
Au3 0.500 0.500 0.897 1
```

## Properties
V (Å³/atom): 35.68
Energy of formation (eV per atom): -0.26
N(E_F) (states/eV/f.u.): 3.2

Crystalline K2In5Au4 at its relaxed geometry, computed with GGA-PBE.

The structure in CIF format:
```
data_K2In5Au4
_space_group_name_H-M_alt 'F m m m'
_space_group_IT_number 69
_space_group_name_Hall '-F 2 2'
_cell_length_a 6.406
_cell_length_b 11.809
_cell_length_c 16.175
_cell_angle_alpha 90.00
_cell_angle_beta 90.00
_cell_angle_gamma 90.00
loop_
_atom_site_label
_atom_site_fract_x
_atom_site_fract_y
_atom_site_fract_z
_atom_site_occupancy
K1 0.000 0.000 0.147 1
In1 0.000 0.000 0.500 1
In2 0.250 0.250 0.000 1
In3 0.250 0.250 0.250 1
Au1 0.000 0.134 0.363 1
```

## Properties
V (Å³/atom): 27.81
Energy of formation (eV per atom): -0.24
N(E_F) (states/eV/f.u.): 4.3
Distance to the lowest polymorph of the same formula (meV per atom): 0

Crystalline KIn5Au4 at its relaxed geometry, computed with GGA-PBE.

The structure in CIF format:
```
data_KIn5Au4
_space_group_name_H-M_alt 'C 1 2/m 1'
_space_group_IT_number 12
_space_group_name_Hall '-C 2y'
_cell_length_a 16.060
_cell_length_b 4.793
_cell_length_c 7.925
_cell_angle_alpha 90.00
_cell_angle_beta 114.76
_cell_angle_gamma 90.00
loop_
_atom_site_label
_atom_site_fract_x
_atom_site_fract_y
_atom_site_fract_z
_atom_site_occupancy
K1 0.000 0.000 0.000 1
In1 0.000 0.000 0.500 1
In2 0.185 0.500 0.490 1
In3 0.185 0.500 0.901 1
Au1 0.000 0.500 0.290 1
Au2 0.204 0.000 0.710 1
```

## Properties
V (Å³/atom): 27.70
Energy of formation (eV per atom): -0.20
N(E_F) (states/eV/f.u.): 3.2

Crystalline KIn2Au2 at its relaxed geometry, computed with GGA-PBE.

The structure in CIF format:
```
data_KIn2Au2
_space_group_name_H-M_alt 'P 1 21/m 1'
_space_group_IT_number 11
_space_group_name_Hall '-P 2yb'
_cell_length_a 5.106
_cell_length_b 4.943
_cell_length_c 10.658
_cell_angle_alpha 90.00
_cell_angle_beta 92.38
_cell_angle_gamma 90.00
loop_
_atom_site_label
_atom_site_fract_x
_atom_site_fract_y
_atom_site_fract_z
_atom_site_occupancy
K1 0.238 0.250 0.246 1
In1 0.244 0.750 0.499 1
In2 0.317 0.250 0.889 1
Au1 0.175 0.750 0.000 1
Au2 0.266 0.250 0.628 1
```

## Properties
V (Å³/atom): 26.88
Energy of formation (eV per atom): -0.31
N(E_F) (states/eV/f.u.): 1.9
Distance to the lowest polymorph of the same formula (meV per atom): 0

Crystalline K2InAu2 at its relaxed geometry, computed with GGA-PBE.

The structure in CIF format:
```
data_K2InAu2
_space_group_name_H-M_alt 'P 4/m b m'
_space_group_IT_number 127
_space_group_name_Hall '-P 4 2ab'
_cell_length_a 9.533
_cell_length_b 9.533
_cell_length_c 3.393
_cell_angle_alpha 90.00
_cell_angle_beta 90.00
_cell_angle_gamma 90.00
loop_
_atom_site_label
_atom_site_fract_x
_atom_site_fract_y
_atom_site_fract_z
_atom_site_occupancy
K1 0.135 0.365 0.000 1
In1 0.000 0.000 0.000 1
Au1 0.164 0.664 0.500 1
```

## Properties
V (Å³/atom): 30.83
Energy of formation (eV per atom): -0.02
N(E_F) (states/eV/f.u.): 2.3
Distance to the lowest polymorph of the same formula (meV per atom): 294

Number 4 is which compound? K3InAu3

Among the records above, which one has the highest energy of formation? VInIr2Au

Among the records above, which one has the lowest energy of formation? TmInIrAu

energy of formation of number 9 (K2In5Au4)? -0.24 eV per atom